This record from Alexandria via LeMat-Bulk describes ErHfCuRu after structural relaxation. The functional is PBE-GGA.

The calculation puts the raw total energy at -29.33 eV per formula unit. For the magnetization, the calculation gives 0.000 μB/cell.

The space group is F-43m (No. 216) and the conventional cell measures 6.645, 6.645 and 6.645 Å, with angles of 90.00, 90.00 and 90.00 degrees. The distinct sites, in fractional coordinates, are Er at (0.000, 0.000, 0.000), Hf at (0.000, 0.000, 0.500), Cu at (0.250, 0.250, 0.750) and Ru at (0.250, 0.250, 0.250).

***

This record from Alexandria via LeMat-Bulk describes ErHfZnCu after structural relaxation. The functional is PBE-GGA.

The calculation puts the raw total energy at -20.44 eV per formula unit. For the magnetization, the calculation gives 3.535 μB/cell.

The space group is F-43m (No. 216) and the conventional cell measures 6.757, 6.757 and 6.757 Å, with angles of 90.00, 90.00 and 90.00 degrees. The distinct sites, in fractional coordinates, are Er at (0.000, 0.000, 0.000), Hf at (0.000, 0.000, 0.500), Zn at (0.250, 0.250, 0.250) and Cu at (0.250, 0.250, 0.750).

***

This record from Alexandria via LeMat-Bulk describes Er12Cu3Hg5 after structural relaxation. The functional is PBE-GGA.

The calculation puts the raw total energy at -64.78 eV per formula unit. For the magnetization, the calculation gives 0.000 μB/cell.

The space group is Ia-3d (No. 230) and the conventional cell measures 17.058, 17.058 and 17.058 Å, with angles of 90.00, 90.00 and 90.00 degrees. The distinct sites, in fractional coordinates, are Er at (0.017, 0.083, 0.648), Cu at (0.000, 0.250, 0.125), Hg at (0.000, 0.000, 0.000) and Hg at (0.000, 0.250, 0.375).

***

This record from Alexandria via LeMat-Bulk describes Er3Cu2Hg after structural relaxation. The functional is PBE-GGA.

The calculation puts the raw total energy at -24.18 eV per formula unit. For the magnetization, the calculation gives 0.000 μB/cell.

The space group is P4/mmm (No. 123) and the conventional cell measures 3.492, 3.492 and 10.788 Å, with angles of 90.00, 90.00 and 90.00 degrees. The distinct sites, in fractional coordinates, are Er at (0.000, 0.000, 0.000), Er at (0.000, 0.000, 0.313), Cu at (0.500, 0.500, 0.159) and Hg at (0.500, 0.500, 0.500).

***

The calculation returns the following DFT formation energy values, one per record and in order: -360.6; -138.6; 188.4; -332.2 meV per atom.